A crystal of LiLaP relaxed with PBEsol. Source: the Alexandria database, functional meta-GGA SCAN.

a b c (Å): 4.150 4.150 4.082
angles (deg): 90.00 90.00 120.00
Fractional positions:
Li: 0.000 0.000 0.000
La: 0.667 0.333 0.500
P: 0.333 0.667 0.000

## Properties
- formation energy from the elements (eV per formula unit) = -3.6
- DOS at the Fermi energy (states/eV/f.u.) = 0.385